1.
{
  "formula": "Ta2BiPb",
  "functional": "PBE",
  "state": "optimized geometry",
  "final_energy_ev_per_atom": -7.142,
  "formation_energy_ev_per_atom": 0.68,
  "crystal_system": "cubic",
  "lattice_angstrom": [[0.000, 3.501, 3.501], [3.501, 0.000, 3.501], [3.501, 3.501, 0.000]],
  "species": ["Bi", "Ta", "Ta", "Pb"],
  "frac_coords": [[0.500, 0.500, 0.500], [0.750, 0.750, 0.750], [0.250, 0.250, 0.250], [0.000, 0.000, 0.000]]
}

2.
{
  "formula": "Ta2BiPb2",
  "functional": "PBE",
  "state": "optimized geometry",
  "final_energy_ev_per_atom": -6.335,
  "formation_energy_ev_per_atom": 0.67,
  "crystal_system": "tetragonal",
  "lattice_angstrom": [[3.785, 0.000, 0.000], [0.000, 3.785, 0.000], [1.892, 1.892, 9.438]],
  "species": ["Pb", "Pb", "Bi", "Ta", "Ta"],
  "frac_coords": [[0.615, 0.615, 0.770], [0.385, 0.385, 0.230], [0.000, 0.000, 0.000], [0.750, 0.250, 0.500], [0.250, 0.750, 0.500]]
}

3.
{
  "formula": "Ta3BiPb",
  "functional": "PBE",
  "state": "optimized geometry",
  "final_energy_ev_per_atom": -6.468,
  "formation_energy_ev_per_atom": 2.16,
  "crystal_system": "cubic",
  "lattice_angstrom": [[-0.855, -2.875, 4.226], [-0.741, -4.170, -2.987], [5.058, -1.097, 0.276]],
  "species": ["Pb", "Ta", "Ta", "Ta", "Bi"],
  "frac_coords": [[0.500, 0.500, 0.500], [0.000, 0.500, 0.000], [0.500, 0.000, 0.000], [0.000, 0.000, 0.500], [0.000, 0.000, 0.000]]
}

4.
{
  "formula": "TaV2BiPb",
  "functional": "PBE",
  "state": "optimized geometry",
  "final_energy_ev_per_atom": -5.433,
  "formation_energy_ev_per_atom": 2.10,
  "crystal_system": "tetragonal",
  "lattice_angstrom": [[-4.057, -1.839, 2.366], [1.564, -5.305, -1.442], [2.660, -0.376, 4.269]],
  "species": ["Pb", "Ta", "Bi", "V", "V"],
  "frac_coords": [[0.000, 0.000, 0.000], [0.500, 0.500, 0.500], [0.000, 0.500, 0.000], [0.000, 0.000, 0.500], [0.500, 0.000, 0.000]]
}

5.
{
  "formula": "Tb2BiPb",
  "functional": "PBE",
  "state": "optimized geometry",
  "final_energy_ev_per_atom": -4.836,
  "formation_energy_ev_per_atom": -0.62,
  "crystal_system": "monoclinic",
  "lattice_angstrom": [[4.332, 0.001, -0.002], [-2.164, 3.753, 0.002], [-2.157, -1.257, 7.801]],
  "species": ["Tb", "Tb", "Pb", "Bi"],
  "frac_coords": [[0.504, 0.252, 0.756], [0.496, 0.748, 0.244], [0.000, 0.500, 0.500], [0.000, 0.000, 0.000]]
}

6.
{
  "formula": "Tb2BiPb",
  "functional": "PBE",
  "state": "optimized geometry",
  "final_energy_ev_per_atom": -4.750,
  "formation_energy_ev_per_atom": -0.54,
  "crystal_system": "tetragonal",
  "lattice_angstrom": [[-2.592, 0.520, 3.130], [-2.465, -2.875, -1.564], [3.377, -4.853, 3.602]],
  "species": ["Bi", "Tb", "Tb", "Pb"],
  "frac_coords": [[0.500, 0.500, 0.000], [0.000, 0.000, 0.752], [0.000, 0.000, 0.248], [0.500, 0.500, 0.500]]
}

7.
{
  "formula": "Tb6Bi5Pb",
  "functional": "PBE",
  "state": "optimized geometry",
  "final_energy_ev_per_atom": -5.033,
  "formation_energy_ev_per_atom": -0.79,
  "crystal_system": "monoclinic",
  "lattice_angstrom": [[7.632, -0.122, -1.439], [-4.126, 6.421, -1.439], [0.154, 0.276, 7.784]],
  "species": ["Tb", "Tb", "Tb", "Tb", "Tb", "Tb", "Bi", "Bi", "Bi", "Bi", "Bi", "Pb"],
  "frac_coords": [[0.586, 0.918, 0.752], [0.414, 0.082, 0.248], [0.752, 0.752, 0.250], [0.082, 0.414, 0.248], [0.248, 0.248, 0.750], [0.918, 0.586, 0.752], [0.500, 0.500, 0.500], [0.666, 0.334, 0.000], [0.168, 0.832, 0.500], [0.334, 0.666, 0.000], [0.832, 0.168, 0.500], [0.000, 0.000, 0.000]]
}

8.
{
  "formula": "Tb8Bi5Pb",
  "functional": "PBE",
  "state": "optimized geometry",
  "final_energy_ev_per_atom": -5.013,
  "formation_energy_ev_per_atom": -0.72,
  "crystal_system": "tetragonal",
  "lattice_angstrom": [[-5.792, 3.249, -4.755], [-0.264, -8.144, -0.564], [-1.273, 2.236, 7.752]],
  "species": ["Bi", "Bi", "Bi", "Bi", "Bi", "Tb", "Tb", "Tb", "Tb", "Tb", "Tb", "Tb", "Tb", "Pb"],
  "frac_coords": [[0.500, 0.000, 0.500], [0.998, 0.374, 0.123], [0.376, 0.125, 0.002], [0.877, 0.875, 0.251], [0.749, 0.626, 0.624], [0.982, 0.106, 0.730], [0.774, 0.252, 0.378], [0.624, 0.894, 0.875], [0.622, 0.396, 0.875], [0.125, 0.748, 0.521], [0.270, 0.252, 0.376], [0.479, 0.604, 0.226], [0.125, 0.748, 0.018], [0.250, 0.500, 0.750]]
}

9.
{
  "formula": "Tb2BiPb",
  "functional": "PBE",
  "state": "optimized geometry",
  "final_energy_ev_per_atom": -4.743,
  "formation_energy_ev_per_atom": -0.53,
  "crystal_system": "trigonal",
  "lattice_angstrom": [[-1.820, 3.808, -0.667], [-2.322, 0.671, -3.524], [-8.073, -1.018, 2.535]],
  "species": ["Tb", "Tb", "Pb", "Bi"],
  "frac_coords": [[0.254, 0.254, 0.238], [0.079, 0.079, 0.763], [0.499, 0.499, 0.503], [0.668, 0.668, 0.996]]
}

10.
{
  "formula": "Tb4BiPb",
  "functional": "PBE",
  "state": "optimized geometry",
  "final_energy_ev_per_atom": -4.766,
  "formation_energy_ev_per_atom": -0.41,
  "crystal_system": "monoclinic",
  "lattice_angstrom": [[-4.343, -2.284, -4.408], [4.736, -6.380, 4.623], [-4.987, 4.234, 4.664]],
  "species": ["Tb", "Tb", "Tb", "Tb", "Tb", "Tb", "Tb", "Tb", "Pb", "Pb", "Bi", "Bi"],
  "frac_coords": [[0.345, 0.898, 0.608], [0.237, 0.290, 0.392], [0.800, 0.399, 0.193], [0.108, 0.206, 0.807], [0.892, 0.794, 0.193], [0.655, 0.102, 0.392], [0.763, 0.710, 0.608], [0.200, 0.601, 0.807], [0.745, 0.995, 0.989], [0.255, 0.005, 0.011], [0.359, 0.609, 0.218], [0.641, 0.391, 0.782]]
}

11.
{
  "formula": "Tb10Bi3Pb3",
  "functional": "PBE",
  "state": "optimized geometry",
  "final_energy_ev_per_atom": -4.951,
  "formation_energy_ev_per_atom": -0.63,
  "crystal_system": "hexagonal",
  "lattice_angstrom": [[6.524, 0.000, 0.000], [0.000, 7.942, -4.585], [0.000, 0.000, 9.171]],
  "species": ["Bi", "Bi", "Bi", "Tb", "Tb", "Tb", "Tb", "Tb", "Tb", "Tb", "Tb", "Tb", "Tb", "Pb", "Pb", "Pb"],
  "frac_coords": [[0.000, 0.000, 0.608], [0.000, 0.392, 0.392], [0.000, 0.608, 0.000], [0.251, 0.667, 0.333], [0.251, 0.333, 0.667], [0.000, 0.000, 0.240], [0.500, 0.760, 0.000], [0.749, 0.667, 0.333], [0.500, 0.240, 0.240], [0.000, 0.240, 0.000], [0.000, 0.760, 0.760], [0.749, 0.333, 0.667], [0.500, 0.000, 0.760], [0.500, 0.000, 0.392], [0.500, 0.392, 0.000], [0.500, 0.608, 0.608]]
}

12.
{
  "formula": "TbBi3Pb",
  "functional": "PBE",
  "state": "optimized geometry",
  "final_energy_ev_per_atom": -4.222,
  "formation_energy_ev_per_atom": -0.23,
  "crystal_system": "orthorhombic",
  "lattice_angstrom": [[10.458, 0.000, 0.000], [0.000, 6.168, 0.000], [0.000, 0.000, 10.290]],
  "species": ["Bi", "Bi", "Bi", "Bi", "Bi", "Bi", "Bi", "Bi", "Bi", "Bi", "Bi", "Bi", "Pb", "Pb", "Pb", "Pb", "Tb", "Tb", "Tb", "Tb"],
  "frac_coords": [[0.250, 0.505, 0.716], [0.500, 0.750, 0.463], [0.000, 0.750, 0.463], [0.750, 0.900, 0.070], [0.250, 0.005, 0.284], [0.750, 0.400, 0.930], [0.750, 0.495, 0.284], [0.250, 0.100, 0.930], [0.500, 0.250, 0.537], [0.000, 0.250, 0.537], [0.750, 0.995, 0.716], [0.250, 0.600, 0.070], [0.000, 0.750, 0.865], [0.000, 0.250, 0.135], [0.500, 0.750, 0.865], [0.500, 0.250, 0.135], [0.750, 0.002, 0.380], [0.250, 0.998, 0.620], [0.750, 0.502, 0.620], [0.250, 0.498, 0.380]]
}

13.
{
  "formula": "Tb4Bi3Pb",
  "functional": "PBE",
  "state": "optimized geometry",
  "final_energy_ev_per_atom": -4.980,
  "formation_energy_ev_per_atom": -0.75,
  "crystal_system": "cubic",
  "lattice_angstrom": [[6.345, 0.000, 0.000], [0.000, 6.345, 0.000], [0.000, 0.000, 6.345]],
  "species": ["Bi", "Bi", "Bi", "Tb", "Tb", "Tb", "Tb", "Pb"],
  "frac_coords": [[0.500, 0.000, 0.500], [0.000, 0.500, 0.500], [0.500, 0.500, 0.000], [0.000, 0.500, 0.000], [0.500, 0.000, 0.000], [0.000, 0.000, 0.500], [0.500, 0.500, 0.500], [0.000, 0.000, 0.000]]
}

14.
{
  "formula": "Tb3BiPb",
  "functional": "PBE",
  "state": "optimized geometry",
  "final_energy_ev_per_atom": -4.615,
  "formation_energy_ev_per_atom": -0.32,
  "crystal_system": "monoclinic",
  "lattice_angstrom": [[-0.054, -1.127, 4.582], [-3.880, -6.918, -4.177], [7.344, -4.461, -1.011]],
  "species": ["Tb", "Tb", "Tb", "Tb", "Tb", "Tb", "Pb", "Pb", "Bi", "Bi"],
  "frac_coords": [[0.035, 0.071, 0.250], [0.259, 0.519, 0.154], [0.741, 0.481, 0.846], [0.175, 0.350, 0.555], [0.965, 0.929, 0.750], [0.825, 0.650, 0.445], [0.648, 0.296, 0.321], [0.352, 0.704, 0.679], [0.882, 0.765, 0.087], [0.118, 0.235, 0.913]]
}

15.
{
  "formula": "Tb2BiPb",
  "functional": "PBE",
  "state": "optimized geometry",
  "final_energy_ev_per_atom": -4.897,
  "formation_energy_ev_per_atom": -0.68,
  "crystal_system": "orthorhombic",
  "lattice_angstrom": [[4.448, 0.000, 0.000], [0.000, 4.477, -0.795], [0.000, -0.106, 12.406]],
  "species": ["Tb", "Tb", "Tb", "Tb", "Pb", "Pb", "Bi", "Bi"],
  "frac_coords": [[0.750, 0.939, 0.877], [0.750, 0.684, 0.368], [0.250, 0.061, 0.123], [0.250, 0.316, 0.632], [0.750, 0.550, 0.099], [0.250, 0.450, 0.901], [0.250, 0.188, 0.376], [0.750, 0.812, 0.624]]
}

16.
{
  "formula": "Tb6BiTe3Pb2",
  "functional": "PBE",
  "state": "optimized geometry",
  "final_energy_ev_per_atom": -5.062,
  "crystal_system": "monoclinic",
  "lattice_angstrom": [[-1.602, -3.788, -1.688], [7.130, -0.690, -5.218], [3.505, -2.807, 8.827]],
  "species": ["Te", "Te", "Te", "Tb", "Tb", "Tb", "Tb", "Tb", "Tb", "Pb", "Pb", "Bi"],
  "frac_coords": [[0.835, 0.167, 0.670], [0.500, 0.500, 0.000], [0.165, 0.833, 0.330], [0.331, 0.422, 0.662], [0.667, 0.091, 0.333], [0.333, 0.909, 0.667], [0.997, 0.750, 0.993], [0.003, 0.250, 0.007], [0.669, 0.578, 0.338], [0.833, 0.667, 0.666], [0.167, 0.333, 0.334], [0.500, 0.000, 0.000]]
}

17.
{
  "formula": "TbTmBiPb",
  "functional": "PBE",
  "state": "optimized geometry",
  "final_energy_ev_per_atom": -4.731,
  "formation_energy_ev_per_atom": -0.56,
  "crystal_system": "orthorhombic",
  "lattice_angstrom": [[-0.561, 0.946, 4.329], [4.001, -1.720, 0.895], [2.619, 5.639, -0.893]],
  "species": ["Pb", "Bi", "Tb", "Tm"],
  "frac_coords": [[0.500, 0.392, 0.093], [0.000, 0.891, 0.592], [0.000, 0.891, 0.092], [0.500, 0.392, 0.593]]
}

18.
{
  "formula": "Tc3BiPb",
  "functional": "PBE",
  "state": "optimized geometry",
  "final_energy_ev_per_atom": -5.703,
  "formation_energy_ev_per_atom": 2.03,
  "crystal_system": "cubic",
  "lattice_angstrom": [[5.088, 0.000, 0.000], [0.000, 5.088, 0.000], [0.000, 0.000, 5.088]],
  "species": ["Tc", "Tc", "Tc", "Pb", "Bi"],
  "frac_coords": [[0.000, 0.500, 0.000], [0.000, 0.000, 0.500], [0.500, 0.000, 0.000], [0.500, 0.500, 0.500], [0.000, 0.000, 0.000]]
}

19.
{
  "formula": "TcBi2Pb",
  "functional": "PBE",
  "state": "optimized geometry",
  "final_energy_ev_per_atom": -4.768,
  "formation_energy_ev_per_atom": 0.69,
  "crystal_system": "tetragonal",
  "lattice_angstrom": [[-3.065, -3.160, -4.895], [-2.996, -3.888, 4.386], [-8.194, 0.889, 0.130]],
  "species": ["Bi", "Bi", "Bi", "Bi", "Tc", "Tc", "Pb", "Pb"],
  "frac_coords": [[0.558, 0.125, 0.250], [0.875, 0.808, 0.750], [0.375, 0.442, 0.750], [0.192, 0.625, 0.250], [0.500, 0.500, 0.000], [0.250, 0.750, 0.500], [0.750, 0.250, 0.500], [0.000, 0.000, 0.000]]
}

20.
{
  "formula": "TcBi2Pb",
  "functional": "PBE",
  "state": "optimized geometry",
  "final_energy_ev_per_atom": -4.660,
  "formation_energy_ev_per_atom": 0.80,
  "crystal_system": "trigonal",
  "lattice_angstrom": [[-0.072, 3.233, -0.546], [-1.928, 1.928, 1.823], [8.222, 3.233, 8.224]],
  "species": ["Bi", "Bi", "Tc", "Pb"],
  "frac_coords": [[0.077, 0.077, 0.768], [0.923, 0.923, 0.232], [0.000, 0.000, 0.000], [0.500, 0.500, 0.500]]
}

Here are the calculated size of the total moment numbers, same order: 0.0; 0.0; 0.0; 3.6; 0.0; 0.0; 0.0; 0.0; 0.0; 0.0; 0.0; 0.0; 0.0; 0.4; 0.0; 0.0; 0.0; 6.0; 1.0; 1.8 (μB/f.u.).